Entry 1:
DFT (SCAN) results for FePt2Rh at its PBEsol-relaxed geometry.

a b c (Å): 8.962 2.698 4.670
angles (deg): 90.00 100.87 90.00
Space group Cm (No. 8)
Asymmetric unit:
1 Fe 0.000 0.000 0.000 (multiplicity 2)
2 Pt 0.254 0.000 0.760 (multiplicity 2)
3 Pt 0.496 0.000 0.493 (multiplicity 2)
4 Rh 0.242 0.500 0.248 (multiplicity 2)

Output
* calculated density: 16439 kg/m3
* electronic total energy: -48.296 eV per atom
* DFT formation energy: -21.6 kJ per mole of atoms


Entry 2:
DFT (SCAN) results for TaCu2Te at its PBEsol-relaxed geometry.

a b c (Å): 3.789 3.789 8.697
angles (deg): 90.00 90.00 90.00
Space group I-4m2 (No. 119)
Asymmetric unit:
1 Ta 0.000 0.000 0.000 (multiplicity 2)
2 Cu 0.000 0.000 0.500 (multiplicity 2)
3 Cu 0.000 0.500 0.750 (multiplicity 2)
4 Te 0.000 0.500 0.250 (multiplicity 2)

Output
* calculated density: 11586 kg/m3
* electronic total energy: -33.355 eV per atom
* ΔE_f (raw): 0.81 eV/f.u.


Entry 3:
DFT (SCAN) results for Ca2AgP at its PBEsol-relaxed geometry.

a b c (Å): 4.872 4.872 3.701
angles (deg): 90.00 90.00 90.00
Space group P4/mmm (No. 123)
Asymmetric unit:
1 Ca 0.000 0.500 0.000 (multiplicity 2)
2 Ag 0.000 0.000 0.500 (multiplicity 1)
3 P 0.500 0.500 0.500 (multiplicity 1)

Output
* calculated density: 4139 kg/m3
* electronic total energy: -15.999 eV per atom
* DFT formation energy: -70.0 kJ per mole of atoms


Entry 4:
DFT (SCAN) results for Cu8O7 at its PBEsol-relaxed geometry.

a b c (Å): 11.180 5.747 5.887
angles (deg): 90.00 120.48 90.00
Space group Cm (No. 8)
Asymmetric unit:
1 Cu 0.000 0.000 0.000 (multiplicity 2)
2 Cu 0.005 0.244 0.431 (multiplicity 4)
3 Cu 0.236 0.000 0.451 (multiplicity 2)
4 Cu 0.246 0.249 0.952 (multiplicity 4)
5 Cu 0.260 0.500 0.453 (multiplicity 2)
6 Cu 0.495 0.000 0.939 (multiplicity 2)
7 O 0.062 0.500 0.311 (multiplicity 2)
8 O 0.184 0.000 0.096 (multiplicity 2)
9 O 0.191 0.500 0.083 (multiplicity 2)
10 O 0.301 0.000 0.816 (multiplicity 2)
11 O 0.308 0.500 0.814 (multiplicity 2)
12 O 0.444 0.000 0.583 (multiplicity 2)
13 O 0.450 0.500 0.557 (multiplicity 2)

Output
* calculated density: 6320 kg/m3
* electronic total energy: -11.689 eV per atom
* ΔE_f (raw): -10.12 eV/f.u.


Entry 5:
DFT (SCAN) results for BaAs2 at its PBEsol-relaxed geometry.

a b c (Å): 4.5588 4.5588 4.6307
angles (deg): 90.00 90.00 120.00
Space group P-3m1 (No. 164)
Asymmetric unit:
1 Ba 0.0000 0.0000 0.0000 (multiplicity 1)
2 As 0.3333 0.6667 0.4631 (multiplicity 2)

Output
* calculated density: 5721 kg/m3
* electronic total energy: -27.542 eV per atom
* DFT formation energy: -86.7 kJ per mole of atoms


Entry 6:
DFT (SCAN) results for MnOF at its PBEsol-relaxed geometry.

a b c (Å): 3.734 5.746 3.138
angles (deg): 90.00 90.00 90.00
Space group Pmn2_1 (No. 31)
Asymmetric unit:
1 Mn 0.000 0.162 0.000 (multiplicity 2)
2 O 0.000 0.918 0.443 (multiplicity 2)
3 F 0.000 0.370 0.528 (multiplicity 2)

Output
* calculated density: 4437 kg/m3
* electronic total energy: -11.746 eV per atom
* ΔE_f (raw): -7.21 eV/f.u.


Entry 7:
DFT (SCAN) results for B at its PBEsol-relaxed geometry.

a b c (Å): 10.8802 10.8802 23.6238
angles (deg): 90.00 90.00 120.00
Space group R-3m (No. 166, hexagonal axes)
Asymmetric unit:
1 B 0.0000 0.0000 0.0000 (multiplicity 3)
2 B 0.0000 0.0000 0.1152 (multiplicity 6)
3 B 0.9997 0.1718 0.3241 (multiplicity 36)
4 B 0.0087 0.5043 0.8052 (multiplicity 18)
5 B 0.0135 0.3714 0.0373 (multiplicity 36)
6 B 0.0174 0.2505 0.8466 (multiplicity 36)
7 B 0.0445 0.2642 0.0800 (multiplicity 36)
8 B 0.0535 0.1070 0.4435 (multiplicity 18)
9 B 0.0559 0.1118 0.8253 (multiplicity 18)
10 B 0.0613 0.1225 0.0542 (multiplicity 18)
11 B 0.0757 0.5378 0.9340 (multiplicity 18)
12 B 0.0863 0.1725 0.5136 (multiplicity 18)
13 B 0.0894 0.1789 0.9000 (multiplicity 18)
14 B 0.1024 0.2047 0.1986 (multiplicity 18)
15 B 0.1111 0.2222 0.3846 (multiplicity 18)

Output
* calculated density: 2335 kg/m3
* electronic total energy: -7.428 eV per atom
* DFT formation energy: 0.1 kJ per mole of atoms


Entry 8:
DFT (SCAN) results for CsTh2P3O12 at its PBEsol-relaxed geometry.

a b c (Å): 17.932 6.961 8.143
angles (deg): 90.00 103.07 90.00
Space group C2/c (No. 15)
Asymmetric unit:
1 Cs 0.000 0.090 0.250 (multiplicity 4)
2 Th 0.155 0.406 0.032 (multiplicity 8)
3 P 0.000 0.409 0.750 (multiplicity 4)
4 P 0.193 0.092 0.680 (multiplicity 8)
5 O 0.028 0.290 0.912 (multiplicity 8)
6 O 0.072 0.470 0.243 (multiplicity 8)
7 O 0.147 0.094 0.146 (multiplicity 8)
8 O 0.156 0.258 0.568 (multiplicity 8)
9 O 0.205 0.153 0.870 (multiplicity 8)
10 O 0.222 0.447 0.330 (multiplicity 8)

Output
* calculated density: 5916 kg/m3
* electronic total energy: -21.813 eV per atom
* ΔE_f (raw): -57.02 eV/f.u.